Density functional theory data (PBE-GGA) for a relaxed structure of Ga2IrAu.

a b c (Å): 4.5215 4.5215 4.5215
angles (deg): 60.00 60.00 60.00
Closest atoms and distances in Å follow each position.
Fractional positions:
Au 0.7500 0.7500 0.7500  4 Ir 2.77, 4 Ga 2.77
Ga 0.0000 0.0000 0.0000  4 Au 2.77, 4 Ga 2.77
Ga 0.2500 0.2500 0.2500  4 Ir 2.77, 4 Ga 2.77
Ir 0.5000 0.5000 0.5000  4 Au 2.77, 4 Ga 2.77

Calculated values
- symmetry = F-43m, No. 216
- crystal system = cubic
- energy (eV/atom) = -4.42

***

Density functional theory data (PBE-GGA) for a relaxed structure of AgP2PdO7.

a b c (Å): 4.4902 5.5251 5.5310
angles (deg): 103.31 97.94 97.92
Closest atoms and distances in Å follow each position.
Fractional positions:
Ag 0.2753 0.1074 0.5016  4 O 2.19-2.26
O 0.0567 0.0092 0.1041  1 P 1.54
O 0.5479 0.7356 0.2426  1 P 1.52
O 0.7765 0.3366 0.2720  2 P 1.61
O 0.9980 0.7657 0.5727  1 P 1.55
O 0.4962 0.5044 0.5991  1 P 1.54
O 0.5548 0.0363 0.8429  1 P 1.55
O 0.0051 0.3664 0.8736  1 P 1.52
P 0.8585 0.1866 0.0108  4 O 1.52-1.61
P 0.6943 0.5979 0.4222  4 O 1.52-1.61
Pd 0.2767 0.7176 0.8912  6 O 2.11-2.20

Calculated values
- symmetry = P1, No. 1
- crystal system = triclinic
- energy (eV/atom) = -6.23

***

Density functional theory data (PBE-GGA) for a relaxed structure of Na2PuCdSe2S2.

a b c (Å): 5.8320 5.8320 6.9120
angles (deg): 114.53 114.53 89.42
Closest atoms and distances in Å follow each position.
Fractional positions:
Cd 0.0025 0.9975 0.0000  2 S 2.65, 2 Se 2.73
Na 0.5345 0.4655 0.0000  4 S 2.88-2.97, 2 Se 2.94
Na 0.3148 0.6852 0.5000  4 Se 2.91-2.93, 2 S 3.01
Pu 0.8121 0.1879 0.5000  2 S 2.60, 2 Se 2.92
S 0.5690 0.9753 0.0365  1 Pu 2.60, 1 Cd 2.65, 1 Na 2.88
S 0.0247 0.4310 0.9636  1 Pu 2.60, 1 Cd 2.65, 1 Na 2.88
Se 0.3016 0.1722 0.4772  1 Cd 2.73, 3 Na 2.91-2.94, 2 Pu 2.92
Se 0.8278 0.6984 0.5228  1 Cd 2.73, 3 Na 2.91-2.94, 2 Pu 2.92

Calculated values
- symmetry = C2, No. 5
- crystal system = monoclinic
- energy (eV/atom) = -5.18

***

Density functional theory data (PBE-GGA) for a relaxed structure of DyMg.

a b c (Å): 5.3508 3.7612 5.3622
angles (deg): 90.00 90.00 90.00
Closest atoms and distances in Å follow each position.
Fractional positions:
Dy 0.2500 0.0000 0.2504  8 Mg 3.27-3.28
Dy 0.7500 0.0000 0.7496  8 Mg 3.27-3.28
Mg 0.7500 0.5000 0.2505  8 Dy 3.27-3.28
Mg 0.2500 0.5000 0.7495  8 Dy 3.27-3.28

Calculated values
- symmetry = Cmmm, No. 65
- crystal system = orthorhombic
- energy (eV/atom) = -3.15

***

Density functional theory data (PBE-GGA) for a relaxed structure of LaHo2O3.

a b c (Å): 3.4506 3.4506 8.5383
angles (deg): 90.00 90.00 120.00
Closest atoms and distances in Å follow each position.
Fractional positions:
Ho 0.6667 0.3333 0.3369  6 O 2.29-2.43
Ho 0.3333 0.6667 0.6631  6 O 2.29-2.43
La 0.0000 0.0000 0.0000  6 O 2.66
O 0.3333 0.6667 0.2056  3 Ho 2.29
O 0.0000 0.0000 0.5000  6 Ho 2.43
O 0.6667 0.3333 0.7944  3 Ho 2.29

Calculated values
- symmetry = P-3m1, No. 164
- crystal system = trigonal
- energy (eV/atom) = -7.68

***

Density functional theory data (PBE-GGA) for a relaxed structure of AlCdGaSe4.

a b c (Å): 7.8165 7.8165 10.9664
angles (deg): 90.00 90.00 90.00
Closest atoms and distances in Å follow each position.
Fractional positions:
Al 0.5000 0.7458 0.0000  6 Se 2.59-2.60
Al 0.2542 0.5000 0.2500  6 Se 2.59-2.60
Al 0.5000 0.2542 0.5000  6 Se 2.59-2.60
Al 0.7458 0.5000 0.7500  6 Se 2.59-2.60
Cd 0.7520 0.2480 0.1250  4 Se 2.64-2.65
Cd 0.7520 0.7520 0.3750  4 Se 2.64-2.65
Cd 0.2480 0.7520 0.6250  4 Se 2.64-2.65
Cd 0.2480 0.2480 0.8750  4 Se 2.64-2.65
Ga 0.0000 0.7474 0.0000  6 Se 2.63-2.64
Ga 0.2526 0.0000 0.2500  6 Se 2.63-2.64
Ga 0.0000 0.2526 0.5000  6 Se 2.63-2.64
Ga 0.7474 0.0000 0.7500  6 Se 2.63-2.64
Se 0.2540 0.9690 0.0111  1 Al 2.60, 2 Ga 2.63-2.64, 1 Cd 2.64
Se 0.2535 0.5244 0.0143  2 Al 2.59, 1 Ga 2.64, 1 Cd 2.65
Se 0.4756 0.7465 0.2357  2 Al 2.59, 1 Ga 2.64, 1 Cd 2.65
Se 0.0310 0.7460 0.2389  1 Al 2.60, 2 Ga 2.63-2.64, 1 Cd 2.64
Se 0.0310 0.2540 0.2611  1 Al 2.60, 2 Ga 2.63-2.64, 1 Cd 2.64
Se 0.4756 0.2535 0.2643  2 Al 2.59, 1 Ga 2.64, 1 Cd 2.65
Se 0.2535 0.4756 0.4857  2 Al 2.59, 1 Ga 2.64, 1 Cd 2.65
Se 0.2540 0.0310 0.4889  1 Al 2.60, 2 Ga 2.63-2.64, 1 Cd 2.64
Se 0.7460 0.0310 0.5111  1 Al 2.60, 2 Ga 2.63-2.64, 1 Cd 2.64
Se 0.7465 0.4756 0.5143  2 Al 2.59, 1 Ga 2.64, 1 Cd 2.65
Se 0.5244 0.2535 0.7357  2 Al 2.59, 1 Ga 2.64, 1 Cd 2.65
Se 0.9690 0.2540 0.7389  1 Al 2.60, 2 Ga 2.63-2.64, 1 Cd 2.64
Se 0.9690 0.7460 0.7611  1 Al 2.60, 2 Ga 2.63-2.64, 1 Cd 2.64
Se 0.5244 0.7465 0.7643  2 Al 2.59, 1 Ga 2.64, 1 Cd 2.65
Se 0.7465 0.5244 0.9857  2 Al 2.59, 1 Ga 2.64, 1 Cd 2.65
Se 0.7460 0.9690 0.9889  1 Al 2.60, 2 Ga 2.63-2.64, 1 Cd 2.64

Calculated values
- relative energy among the computed polymorphs (meV per atom) = 97
- symmetry = P4_122, No. 91
- crystal system = tetragonal

***

Density functional theory data (PBE-GGA) for a relaxed structure of HoTm2Mg3AgHg2.

a b c (Å): 4.1078 7.7414 7.7414
angles (deg): 120.06 90.00 90.00
Closest atoms and distances in Å follow each position.
Fractional positions:
Ag 0.0000 0.0002 0.0002  6 Mg 2.80
Hg 0.5000 0.6668 0.3331  3 Mg 2.97-2.98, 4 Tm 3.11, 2 Ho 3.12
Hg 0.5000 0.3331 0.6668  3 Mg 2.97-2.98, 4 Tm 3.11, 2 Ho 3.12
Ho 0.0000 0.5902 0.5902  4 Hg 3.12, 1 Ag 3.17, 6 Mg 3.36-3.44
Mg 0.5000 0.7538 0.0001  2 Ag 2.80, 2 Hg 2.97
Mg 0.5000 0.2461 0.2461  2 Ag 2.80, 2 Hg 2.98
Mg 0.5000 0.0001 0.7538  2 Ag 2.80, 2 Hg 2.97
Tm 0.0000 0.4097 0.0000  4 Hg 3.11, 1 Ag 3.17, 6 Mg 3.36-3.44
Tm 0.0000 0.0000 0.4097  4 Hg 3.11, 1 Ag 3.17, 6 Mg 3.36-3.44

Calculated values
- symmetry = Amm2, No. 38
- crystal system = orthorhombic
- energy (eV/atom) = -2.76

***

Density functional theory data (PBE-GGA) for a relaxed structure of LiTaCuTe2S.

a b c (Å): 7.2892 7.2892 9.6519
angles (deg): 90.00 90.00 150.75
Closest atoms and distances in Å follow each position.
Fractional positions:
Cu 0.9790 0.0210 0.2500  2 S 2.28
Cu 0.0210 0.9790 0.7500  2 S 2.28
Li 0.2094 0.7906 0.2500  2 S 2.65
Li 0.7906 0.2094 0.7500  2 S 2.65
S 0.5742 0.4258 0.2500  2 Cu 2.28
S 0.4258 0.5742 0.7500  2 Cu 2.28
Ta 0.5000 0.5000 0.0000  2 S 2.63, 4 Te 2.83
Ta 0.5000 0.5000 0.5000  2 S 2.63, 4 Te 2.83
Te 0.8525 0.1475 0.0585  1 Cu 2.57, 2 Ta 2.83
Te 0.8525 0.1475 0.4415  1 Cu 2.57, 2 Ta 2.83
Te 0.1475 0.8525 0.5585  1 Cu 2.57, 2 Ta 2.83
Te 0.1475 0.8525 0.9415  1 Cu 2.57, 2 Ta 2.83

Calculated values
- symmetry = Cmcm, No. 63
- crystal system = orthorhombic
- energy (eV/atom) = -5.09

***

Density functional theory data (PBE-GGA) for a relaxed structure of Zn2P2H10O11.

a b c (Å): 7.1116 7.1663 9.2346
angles (deg): 90.51 90.04 85.26
Closest atoms and distances in Å follow each position.
Fractional positions:
H 0.2363 0.9028 0.0084  1 P 1.41
H 0.7520 0.7300 0.1017  1 O 0.99
H 0.9744 0.8266 0.2200  1 O 1.04
H 0.1216 0.3378 0.2343  1 O 0.99
H 0.4740 0.1446 0.2373  1 O 1.01
H 0.4356 0.9318 0.2386  1 O 1.00
H 0.9044 0.3667 0.2518  1 O 1.00
H 0.9172 0.9861 0.3455  1 O 1.01
H 0.7391 0.2110 0.4345  1 O 1.00
H 0.9083 0.6991 0.4712  1 P 1.41
H 0.0916 0.3009 0.5288  1 P 1.41
H 0.2608 0.7888 0.5654  1 O 1.00
H 0.0828 0.0139 0.6546  1 O 1.01
H 0.0956 0.6332 0.7482  1 O 1.00
H 0.5644 0.0682 0.7614  1 O 1.00
H 0.5259 0.8554 0.7626  1 O 1.01
H 0.8784 0.6621 0.7657  1 O 0.99
H 0.0256 0.1733 0.7801  1 O 1.04
H 0.2482 0.2700 0.8984  1 O 0.99
H 0.7637 0.0972 0.9916  1 P 1.41
O 0.2533 0.5690 0.0616  1 P 1.53
O 0.8895 0.7046 0.1176  1 H 0.99
O 0.5095 0.7573 0.1251  1 P 1.56, 2 H 1.68-1.73
O 0.5673 0.2932 0.1458  1 P 1.53, 1 H 1.56
O 0.0035 0.3172 0.1810  2 H 0.99-1.00
O 0.0282 0.9250 0.2888  2 H 1.01-1.04
O 0.4042 0.0515 0.2928  2 H 1.00-1.01
O 0.2690 0.4492 0.3553  1 P 1.53
O 0.7535 0.4342 0.3795  1 P 1.55, 2 H 1.64-1.69
O 0.5711 0.7270 0.4291  1 P 1.55
O 0.7468 0.0721 0.4461  1 H 1.00
O 0.2533 0.9281 0.5538  1 H 1.00
O 0.4289 0.2730 0.5709  1 P 1.55
O 0.2465 0.5658 0.6205  1 P 1.55, 2 H 1.64-1.69
O 0.7310 0.5507 0.6447  1 P 1.53
O 0.5958 0.9485 0.7071  2 H 1.00-1.01
O 0.9719 0.0750 0.7114  2 H 1.01-1.04
O 0.9965 0.6828 0.8190  2 H 0.99-1.00
O 0.4327 0.7068 0.8542  1 P 1.53, 1 H 1.56
O 0.4905 0.2427 0.8749  1 P 1.56, 2 H 1.68-1.73
O 0.1104 0.2954 0.8824  1 H 0.99
O 0.7467 0.4311 0.9384  1 P 1.53
P 0.3547 0.7357 0.0076  1 H 1.41, 3 O 1.53-1.56
P 0.7446 0.6034 0.4849  1 H 1.41, 3 O 1.53-1.55
P 0.2554 0.3967 0.5150  1 H 1.41, 3 O 1.53-1.55
P 0.6453 0.2643 0.9924  1 H 1.41, 3 O 1.53-1.56
Zn 0.0000 0.5000 0.0000  6 O 1.93-2.13
Zn 0.4957 0.5314 0.2591  5 O 1.98-2.21
Zn 0.4999 0.0000 0.5000  6 O 1.93-2.08
Zn 0.5043 0.4686 0.7409  5 O 1.98-2.21

Calculated values
- symmetry = P-1, No. 2
- crystal system = triclinic
- energy (eV/atom) = -5.16

***

Density functional theory data (PBE-GGA) for a relaxed structure of CsErCuSe3.

a b c (Å): 9.6943 4.0758 10.1062
angles (deg): 90.00 113.27 90.00
Closest atoms and distances in Å follow each position.
Fractional positions:
Cs 0.2865 0.7500 0.2535  7 Se 3.62-3.73
Cs 0.7135 0.2500 0.7465  7 Se 3.62-3.73
Cu 0.5829 0.2500 0.1055  4 Se 2.43-2.46
Cu 0.4171 0.7500 0.8945  4 Se 2.43-2.46
Er 0.8280 0.7500 0.3576  6 Se 2.82-2.91
Er 0.1720 0.2500 0.6424  6 Se 2.82-2.91
Se 0.6873 0.7500 0.0447  3 Cu 2.45-2.46
Se 0.0251 0.2500 0.3396  3 Er 2.82-2.85
Se 0.6257 0.2500 0.3591  1 Cu 2.43
Se 0.3743 0.7500 0.6409  1 Cu 2.43
Se 0.9749 0.7500 0.6604  3 Er 2.82-2.85
Se 0.3127 0.2500 0.9553  3 Cu 2.45-2.46

Calculated values
- symmetry = P2_1/m, No. 11
- crystal system = monoclinic
- energy (eV/atom) = -4.46

***

Density functional theory data (PBE-GGA) for a relaxed structure of ScNiSn.

a b c (Å): 7.8047 7.8047 3.1879
angles (deg): 90.00 90.00 120.00
Closest atoms and distances in Å follow each position.
Fractional positions:
Ni 0.6433 0.0000 0.0000  5 Sn 2.78-2.98, 4 Sc 3.03
Ni 0.3567 0.3567 0.0000  5 Sn 2.78-2.98, 4 Sc 3.03
Ni 0.0000 0.6433 0.0000  5 Sn 2.78-2.98, 4 Sc 3.03
Sc 0.2947 0.0000 0.5000  4 Sn 2.76-2.80, 4 Ni 3.03
Sc 0.0000 0.2947 0.5000  4 Sn 2.76-2.80, 4 Ni 3.03
Sc 0.7053 0.7053 0.5000  4 Sn 2.76-2.80, 4 Ni 3.03
Sn 0.0000 0.0000 0.0000  3 Ni 2.78, 6 Sc 2.80
Sn 0.6667 0.3333 0.5000  3 Sc 2.76, 6 Ni 2.98
Sn 0.3333 0.6667 0.5000  3 Sc 2.76, 6 Ni 2.98

Calculated values
- symmetry = P-62m, No. 189
- crystal system = hexagonal
- energy (eV/atom) = -5.50

***

Density functional theory data (PBE-GGA) for a relaxed structure of Ba3Os2O9.

a b c (Å): 7.3920 7.3920 7.3920
angles (deg): 85.98 85.98 85.98
Closest atoms and distances in Å follow each position.
Fractional positions:
Ba 0.7500 0.4120 0.0880  12 O 2.84-2.95
Ba 0.5880 0.9120 0.2500  12 O 2.84-2.95
Ba 0.0880 0.7500 0.4120  12 O 2.84-2.95
Ba 0.9120 0.2500 0.5880  12 O 2.84-2.95
Ba 0.4120 0.0880 0.7500  12 O 2.84-2.95
Ba 0.2500 0.5880 0.9120  12 O 2.84-2.95
O 0.9101 0.7524 0.0712  1 Os 1.85
O 0.4123 0.2500 0.0877  2 Os 2.08
O 0.2476 0.9288 0.0899  1 Os 1.85
O 0.9288 0.0899 0.2476  1 Os 1.85
O 0.0877 0.4123 0.2500  2 Os 2.08
O 0.4101 0.5712 0.2524  1 Os 1.85
O 0.5712 0.2524 0.4101  1 Os 1.85
O 0.2500 0.0877 0.4123  2 Os 2.08
O 0.7476 0.5899 0.4288  1 Os 1.85
O 0.2524 0.4101 0.5712  1 Os 1.85
O 0.7500 0.9123 0.5877  2 Os 2.08
O 0.4288 0.7476 0.5899  1 Os 1.85
O 0.5899 0.4288 0.7476  1 Os 1.85
O 0.9123 0.5877 0.7500  2 Os 2.08
O 0.0712 0.9101 0.7524  1 Os 1.85
O 0.7524 0.0712 0.9101  1 Os 1.85
O 0.5877 0.7500 0.9123  2 Os 2.08
O 0.0899 0.2476 0.9288  1 Os 1.85
Os 0.1565 0.1565 0.1565  6 O 1.85-2.08
Os 0.3435 0.3435 0.3435  6 O 1.85-2.08
Os 0.6565 0.6565 0.6565  6 O 1.85-2.08
Os 0.8435 0.8435 0.8435  6 O 1.85-2.08

Calculated values
- symmetry = R-3c, No. 167
- crystal system = trigonal
- energy (eV/atom) = -7.07